# TbErZnRh

An optimized crystal structure of TbErZnRh (PBE, Alexandria).

Cell and atoms, written as CIF:
```
data_TbErZnRh
_chemical_formula_sum 'Tb4 Er4 Zn4 Rh4'
_space_group_name_H-M_alt 'F -4 3 m'
_space_group_IT_number 216
_space_group_name_Hall 'F -4 2 3'
_cell_length_a 6.9627
_cell_length_b 6.9627
_cell_length_c 6.9627
_cell_angle_alpha 90.00
_cell_angle_beta 90.00
_cell_angle_gamma 90.00
loop_
_atom_site_label
_atom_site_type_symbol
_atom_site_fract_x
_atom_site_fract_y
_atom_site_fract_z
Tb1 Tb 0.0000 0.0000 0.0000
Er1 Er 0.0000 0.0000 0.5000
Zn1 Zn 0.2500 0.2500 0.2500
Rh1 Rh 0.2500 0.2500 0.7500
```

## Properties
The electronic total energy comes out at -0.373 Ry per atom. The calculation puts the density of states at the Fermi level at 2.2 states/eV/f.u. As for the energy above the most stable polymorph in this dataset: 8 meV per atom.

***

# Mn2RhPb

An optimized crystal structure of Mn2RhPb (PBE, Alexandria).

Cell and atoms, written as CIF:
```
data_Mn2RhPb
_chemical_formula_sum 'Mn2 Rh1 Pb1'
_space_group_name_H-M_alt 'P 4 m m'
_space_group_IT_number 99
_cell_length_a 3.3202
_cell_length_b 3.3202
_cell_length_c 6.1514
_cell_angle_alpha 90.00
_cell_angle_beta 90.00
_cell_angle_gamma 90.00
loop_
_space_group_symop_operation_xyz
'x,y,z'
'-y,x,z'
'-x,-y,z'
'y,-x,z'
'-x,y,z'
'y,x,z'
'x,-y,z'
'-y,-x,z'
loop_
_atom_site_label
_atom_site_type_symbol
_atom_site_fract_x
_atom_site_fract_y
_atom_site_fract_z
Mn1 Mn 0.0000 0.0000 0.0000
Mn2 Mn 0.5000 0.5000 0.2215
Rh1 Rh 0.5000 0.5000 0.7831
Pb1 Pb 0.0000 0.0000 0.5047
```

## Properties
The electronic total energy comes out at -0.521 Ry per atom. The calculation puts the density of states at the Fermi level at 3.1 states/eV/f.u.

***

# Ce3P4Ir4

An optimized crystal structure of Ce3P4Ir4 (PBE, Alexandria).

Cell and atoms, written as CIF:
```
data_Ce3P4Ir4
_chemical_formula_sum 'Ce6 P8 Ir8'
_space_group_name_H-M_alt 'I m m m'
_space_group_IT_number 71
_space_group_name_Hall '-I 2 2'
_cell_length_a 3.9906
_cell_length_b 4.0637
_cell_length_c 24.2591
_cell_angle_alpha 90.00
_cell_angle_beta 90.00
_cell_angle_gamma 90.00
loop_
_atom_site_label
_atom_site_type_symbol
_atom_site_fract_x
_atom_site_fract_y
_atom_site_fract_z
Ce1 Ce 0.0000 0.0000 0.0000
Ce2 Ce 0.0000 0.5000 0.1442
P1 P 0.0000 0.0000 0.4519
P2 P 0.0000 0.5000 0.3068
Ir1 Ir 0.0000 0.0000 0.2483
Ir2 Ir 0.0000 0.5000 0.4032
```

## Properties
The electronic total energy comes out at -0.583 Ry per atom. The calculation puts the density of states at the Fermi level at 9.8 states/eV/f.u.